Entry 1:
Density functional theory data (PBE) for AgBiI after structural relaxation.

a b c (Å): 23.983 4.133 4.330
angles (deg): 90.00 90.20 90.00
Space group C2/m (No. 12)
Asymmetric unit:
Ag (0.041, 0.000, 0.251) x4
Bi (0.067, 0.500, 0.751) x4
I (0.186, 0.500, 0.754) x4

VASP energy	-2.737	eV per atom
formation energy without anion corrections	0.024	eV per atom
Fermi-level density of states	1.056	states/eV/f.u.

---

Entry 2:
Density functional theory data (PBE) for TlGe2Pd8 after structural relaxation.

a b c (Å): 4.016 7.148 12.448
angles (deg): 90.00 90.00 90.00
Space group Immm (No. 71)
Asymmetric unit:
Tl (0.000, 0.000, 0.000) x2
Ge (0.000, 0.000, 0.321) x4
Pd (0.000, 0.195, 0.500) x4
Pd (0.000, 0.281, 0.166) x8
Pd (0.000, 0.500, 0.347) x4

calculated formation energy	-0.3491	eV per atom
VASP energy	-5.180	eV per atom
Fermi-level density of states	3.926	states/eV/f.u.

---

Entry 3:
Density functional theory data (PBE) for LiSi2As2 after structural relaxation.

a b c (Å): 7.082 7.082 3.527
angles (deg): 90.00 90.00 90.00
Space group P4/mbm (No. 127)
Asymmetric unit:
Li (0.000, 0.000, 0.000) x2
Si (0.132, 0.368, 0.500) x4
As (0.165, 0.665, 0.000) x4

VASP energy	-4.255	eV per atom
formation energy without anion corrections	0.157	eV per atom
Fermi-level density of states	1.576	states/eV/f.u.

---

Q: Which value of VASP energy does entry 2 give?
A: -5.180 eV per atom